DFT (PBE) results for a relaxed structure of Pr2Nd3S8.

```
Pr2Nd3S8
1.0
6.9550 0.0000 0.1472
0.0000 8.3051 0.0000
-2.6381 -4.1526 6.5738
Nd S Pr
3 8 2
Direct
0.5000 0.0000 0.0000
0.0000 0.2637 0.0000
0.0000 0.7363 0.0000
0.5853 0.6454 0.7502
0.4147 0.8952 0.2498
0.4147 0.3546 0.2498
0.0825 0.3791 0.7583
0.0671 0.8839 0.7677
0.9175 0.6209 0.2417
0.5853 0.1048 0.7502
0.9329 0.1161 0.2323
0.6530 0.7336 0.4673
0.3470 0.2664 0.5327
```

Properties
- Raw total energy: -6.206 eV/atom
- Raw formation energy: -1.831 eV/atom
- Volume: 383 Å³/f.u.
- M_tot: 0.0 μB/f.u.
- DOS(E_F): 8.40 states/eV per cell
- Space group: C2/m